# 1
The following is a DFT calculation (PBE) of a relaxed structure of SrAl3P2H7O14.

Summary:
Calculated volume: 241.46 Å³/f.u.
VASP energy: -6.42 eV/atom
Space group: No. 160

a = 6.811 Å, b = 6.811 Å, c = 6.811 Å
α = 63.65°, β = 63.65°, γ = 63.65°
Sites, in units of the cell vectors:
Sr  0.000  0.000  0.000
Al  0.002  0.002  0.496
Al  0.002  0.496  0.002
Al  0.496  0.002  0.002
P  0.311  0.311  0.311
P  0.694  0.694  0.694
H  0.271  0.710  0.710
H  0.305  0.305  0.714
H  0.305  0.714  0.305
H  0.535  0.535  0.535
H  0.710  0.271  0.710
H  0.710  0.710  0.271
H  0.714  0.305  0.305
O  0.107  0.741  0.741
O  0.160  0.160  0.513
O  0.160  0.513  0.160
O  0.259  0.259  0.885
O  0.259  0.885  0.259
O  0.406  0.406  0.406
O  0.484  0.838  0.838
O  0.513  0.160  0.160
O  0.595  0.595  0.595
O  0.741  0.107  0.741
O  0.741  0.741  0.107
O  0.838  0.484  0.838
O  0.838  0.838  0.484
O  0.885  0.259  0.259

***

# 2
The following is a DFT calculation (PBE) of a relaxed structure of Pu2AlHO8.

Summary:
Calculated volume: 133.93 Å³/f.u.
VASP energy: -8.40 eV/atom
Space group: No. 65

a = 4.359 Å, b = 4.359 Å, c = 7.094 Å
α = 90.00°, β = 90.00°, γ = 96.44°
Sites, in units of the cell vectors:
Pu  0.000  0.000  0.245
Pu  0.000  0.000  0.755
Al  0.500  0.500  0.500
H  0.500  0.500  0.000
O  0.204  0.204  0.500
O  0.258  0.258  0.000
O  0.291  0.709  0.281
O  0.291  0.709  0.719
O  0.709  0.291  0.281
O  0.709  0.291  0.719
O  0.742  0.742  0.000
O  0.796  0.796  0.500

***

# 3
The following is a DFT calculation (PBE) of a relaxed structure of PuAlH2O6.

Summary:
Calculated volume: 110.66 Å³/f.u.
VASP energy: -7.43 eV/atom
Space group: No. 1

a = 5.219 Å, b = 5.273 Å, c = 5.451 Å
α = 117.14°, β = 91.31°, γ = 119.13°
Sites, in units of the cell vectors:
Pu  0.000  0.000  0.000
Al  0.522  0.025  0.501
H  0.066  0.542  0.460
H  0.088  0.075  0.560
O  0.201  0.556  0.333
O  0.252  0.122  0.707
O  0.329  0.038  0.197
O  0.697  0.996  0.805
O  0.780  0.938  0.291
O  0.822  0.501  0.699

***

# 4
The following is a DFT calculation (PBE) of a relaxed structure of RbAl2HO.

Summary:
Calculated volume: 87.92 Å³/f.u.
VASP energy: -3.11 eV/atom
Space group: No. 123

a = 3.953 Å, b = 3.953 Å, c = 5.628 Å
α = 90.00°, β = 90.00°, γ = 90.00°
Sites, in units of the cell vectors:
Rb  0.000  0.000  0.000
Al  0.000  0.500  0.500
Al  0.500  0.000  0.500
H  0.500  0.500  0.500
O  0.500  0.500  0.000

***

# 5
The following is a DFT calculation (PBE) of a relaxed structure of AlH11SO10.

Summary:
Calculated volume: 215.11 Å³/f.u.
VASP energy: -5.45 eV/atom
Space group: No. 14

a = 8.243 Å, b = 12.666 Å, c = 10.557 Å
α = 90.00°, β = 128.69°, γ = 90.00°
Sites, in units of the cell vectors:
Al  0.037  0.010  0.384
Al  0.037  0.490  0.884
Al  0.963  0.510  0.116
Al  0.963  0.990  0.616
H  0.012  0.150  0.191
H  0.012  0.350  0.691
H  0.017  0.665  0.986
H  0.017  0.835  0.486
H  0.083  0.122  0.850
H  0.083  0.378  0.350
H  0.166  0.599  0.752
H  0.166  0.901  0.252
H  0.174  0.193  0.377
H  0.174  0.307  0.877
H  0.314  0.569  0.396
H  0.314  0.931  0.896
H  0.355  0.027  0.819
H  0.355  0.473  0.319
H  0.368  0.204  0.093
H  0.368  0.296  0.593
H  0.378  0.589  0.097
H  0.378  0.911  0.597
H  0.391  0.183  0.957
H  0.391  0.317  0.457
H  0.438  0.035  0.610
H  0.438  0.465  0.110
H  0.562  0.535  0.890
H  0.562  0.965  0.390
H  0.609  0.683  0.543
H  0.609  0.817  0.043
H  0.622  0.089  0.403
H  0.622  0.411  0.903
H  0.632  0.704  0.407
H  0.632  0.796  0.907
H  0.645  0.527  0.681
H  0.645  0.973  0.181
H  0.686  0.069  0.104
H  0.686  0.431  0.604
H  0.826  0.693  0.123
H  0.826  0.807  0.623
H  0.834  0.099  0.748
H  0.834  0.401  0.248
H  0.917  0.622  0.650
H  0.917  0.878  0.150
H  0.983  0.165  0.514
H  0.983  0.335  0.014
H  0.988  0.650  0.309
H  0.988  0.850  0.809
S  0.352  0.687  0.635
S  0.352  0.813  0.135
S  0.648  0.187  0.865
S  0.648  0.313  0.365
O  0.037  0.093  0.533
O  0.037  0.407  0.033
O  0.040  0.581  0.741
O  0.040  0.919  0.241
O  0.096  0.128  0.307
O  0.096  0.372  0.807
O  0.128  0.704  0.498
O  0.128  0.796  0.998
O  0.257  0.531  0.292
O  0.257  0.969  0.792
O  0.287  0.200  0.973
O  0.287  0.300  0.473
O  0.332  0.520  0.038
O  0.332  0.980  0.538
O  0.376  0.625  0.767
O  0.376  0.875  0.267
O  0.449  0.624  0.575
O  0.449  0.876  0.075
O  0.464  0.711  0.200
O  0.464  0.789  0.700
O  0.536  0.211  0.300
O  0.536  0.289  0.800
O  0.551  0.124  0.925
O  0.551  0.376  0.425
O  0.624  0.125  0.733
O  0.624  0.375  0.233
O  0.668  0.020  0.462
O  0.668  0.480  0.962
O  0.713  0.700  0.527
O  0.713  0.800  0.027
O  0.743  0.031  0.208
O  0.743  0.469  0.708
O  0.872  0.204  0.002
O  0.872  0.296  0.502
O  0.904  0.628  0.193
O  0.904  0.872  0.693
O  0.960  0.081  0.759
O  0.960  0.419  0.259
O  0.963  0.593  0.967
O  0.963  0.907  0.467

***

# 6
The following is a DFT calculation (PBE) of a relaxed structure of AlZn2SbH12O12.

Summary:
Calculated volume: 254.19 Å³/f.u.
VASP energy: -5.26 eV/atom
Space group: No. 147

a = 5.451 Å, b = 5.451 Å, c = 9.878 Å
α = 90.00°, β = 90.00°, γ = 120.00°
Sites, in units of the cell vectors:
Al  0.000  0.000  0.000
Zn  0.333  0.667  0.010
Zn  0.667  0.333  0.990
Sb  0.000  0.000  0.500
H  0.034  0.311  0.800
H  0.121  0.659  0.612
H  0.278  0.966  0.800
H  0.311  0.278  0.200
H  0.341  0.462  0.612
H  0.462  0.121  0.388
H  0.538  0.879  0.612
H  0.659  0.538  0.388
H  0.689  0.722  0.800
H  0.722  0.034  0.200
H  0.879  0.341  0.388
H  0.966  0.689  0.200
O  0.005  0.306  0.899
O  0.131  0.340  0.620
O  0.209  0.869  0.620
O  0.301  0.995  0.899
O  0.306  0.301  0.101
O  0.340  0.209  0.380
O  0.660  0.791  0.620
O  0.694  0.699  0.899
O  0.699  0.005  0.101
O  0.791  0.131  0.380
O  0.869  0.660  0.380
O  0.995  0.694  0.101

***

# 7
The following is a DFT calculation (PBE) of a relaxed structure of AlH4Se2O8.

Summary:
Calculated volume: 180.11 Å³/f.u.
VASP energy: -5.44 eV/atom
Space group: No. 14

a = 7.247 Å, b = 6.768 Å, c = 9.090 Å
α = 90.00°, β = 126.11°, γ = 90.00°
Sites, in units of the cell vectors:
Al  0.000  0.000  0.000
Al  0.000  0.500  0.500
H  0.326  0.215  0.050
H  0.326  0.285  0.550
H  0.331  0.231  0.231
H  0.331  0.269  0.731
H  0.669  0.731  0.269
H  0.669  0.769  0.769
H  0.674  0.715  0.450
H  0.674  0.785  0.950
Se  0.246  0.696  0.894
Se  0.246  0.804  0.394
Se  0.754  0.196  0.606
Se  0.754  0.304  0.106
O  0.088  0.592  0.353
O  0.088  0.908  0.853
O  0.215  0.673  0.692
O  0.215  0.827  0.192
O  0.231  0.207  0.097
O  0.231  0.293  0.597
O  0.474  0.239  0.959
O  0.474  0.261  0.459
O  0.526  0.739  0.541
O  0.526  0.761  0.041
O  0.769  0.707  0.403
O  0.769  0.793  0.903
O  0.785  0.173  0.808
O  0.785  0.327  0.308
O  0.912  0.092  0.147
O  0.912  0.408  0.647

***

# 8
The following is a DFT calculation (PBE) of a relaxed structure of AlH5Se2O8.

Summary:
Calculated volume: 179.94 Å³/f.u.
VASP energy: -5.46 eV/atom
Space group: No. 14

a = 7.456 Å, b = 6.732 Å, c = 8.909 Å
α = 90.00°, β = 126.41°, γ = 90.00°
Sites, in units of the cell vectors:
Al  0.000  0.000  0.000
Al  0.000  0.500  0.500
H  0.316  0.246  0.587
H  0.316  0.254  0.087
H  0.322  0.212  0.269
H  0.322  0.288  0.769
H  0.500  0.000  0.500
H  0.500  0.500  0.000
H  0.678  0.712  0.231
H  0.678  0.788  0.731
H  0.684  0.746  0.913
H  0.684  0.754  0.413
Se  0.250  0.704  0.345
Se  0.250  0.796  0.845
Se  0.750  0.204  0.155
Se  0.750  0.296  0.655
O  0.079  0.594  0.730
O  0.079  0.906  0.230
O  0.217  0.669  0.518
O  0.217  0.831  0.018
O  0.224  0.214  0.130
O  0.224  0.286  0.630
O  0.485  0.178  0.516
O  0.485  0.322  0.016
O  0.515  0.678  0.984
O  0.515  0.822  0.484
O  0.776  0.714  0.370
O  0.776  0.786  0.870
O  0.783  0.169  0.982
O  0.783  0.331  0.482
O  0.921  0.094  0.770
O  0.921  0.406  0.270